Record 1
Here is KMo2Au after structural relaxation from Alexandria. Energies are from GGA-PBE.

It has space group Immm (No. 71), with a = 2.651 Å, b = 5.157 Å, c = 11.923 Å, α = 90.00°, β = 90.00° and γ = 90.00°. The distinct sites, in fractional coordinates, are K at (0.000, 0.000, 0.000), Mo at (0.000, 0.500, 0.214) and Au at (0.000, 0.000, 0.500).

The energy above the most stable polymorph in this dataset comes out at 256 meV/atom.


Record 2
Here is LiPuAlCu after structural relaxation from Alexandria. Energies are from GGA-PBE.

It has space group F-43m (No. 216), with a = 6.568 Å, b = 6.568 Å, c = 6.568 Å, α = 90.00°, β = 90.00° and γ = 90.00°. The distinct sites, in fractional coordinates, are Li at (0.000, 0.000, 0.000), Pu at (0.250, 0.250, 0.750), Al at (0.250, 0.250, 0.250) and Cu at (0.000, 0.000, 0.500).

The calculation puts the raw total energy at -6.0347 eV per atom.


Record 3
Here is Ca3Co5N12 after structural relaxation from Alexandria. Energies are from GGA-PBE.

It has space group Ia-3d (No. 230), with a = 12.089 Å, b = 12.089 Å, c = 12.089 Å, α = 90.00°, β = 90.00° and γ = 90.00°. The distinct sites, in fractional coordinates, are Ca at (0.000, 0.250, 0.125), Co at (0.000, 0.000, 0.000), Co at (0.000, 0.250, 0.375) and N at (0.045, 0.053, 0.645).

The calculation puts the formation energy from raw total energies at 0.394 eV/atom.


Record 4
Here is LaDy2Zn after structural relaxation from Alexandria. Energies are from GGA-PBE.

It has space group P4/mmm (No. 123), with a = 4.798 Å, b = 4.798 Å, c = 4.864 Å, α = 90.00°, β = 90.00° and γ = 90.00°. The distinct sites, in fractional coordinates, are La at (0.000, 0.000, 0.000), Dy at (0.000, 0.500, 0.500) and Zn at (0.500, 0.500, 0.000).

The energy above the most stable polymorph in this dataset comes out at 131 meV/atom.


Record 5
Here is Sr2MgAl3In4 after structural relaxation from Alexandria. Energies are from GGA-PBE.

It has space group P-4m2 (No. 115), with a = 4.680 Å, b = 4.680 Å, c = 11.958 Å, α = 90.00°, β = 90.00° and γ = 90.00°. The distinct sites, in fractional coordinates, are Sr at (0.000, 0.500, 0.245), Mg at (0.000, 0.000, 0.500), Al at (0.000, 0.500, 0.864), Al at (0.500, 0.500, 0.500), In at (0.000, 0.000, 0.000), In at (0.000, 0.500, 0.639) and In at (0.500, 0.500, 0.000).

The calculation puts the raw total energy at -2.9573 eV per atom.


Record 6
Here is Li12In3Ag after structural relaxation from Alexandria. Energies are from GGA-PBE.

It has space group P4/mmm (No. 123), with a = 4.138 Å, b = 4.138 Å, c = 17.158 Å, α = 90.00°, β = 90.00° and γ = 90.00°. The distinct sites, in fractional coordinates, are Li at (0.000, 0.000, 0.000), Li at (0.000, 0.000, 0.242), Li at (0.000, 0.000, 0.500), Li at (0.000, 0.500, 0.115), Li at (0.000, 0.500, 0.370), In at (0.500, 0.500, 0.243), In at (0.500, 0.500, 0.500) and Ag at (0.500, 0.500, 0.000).

The calculation puts the raw total energy at -2.3081 eV per atom.


Record 7
Here is PmErNi after structural relaxation from Alexandria. Energies are from GGA-PBE.

It has space group P3m1 (No. 156), with a = 4.5206 Å, b = 4.5206 Å, c = 4.1709 Å, α = 90.00°, β = 90.00° and γ = 120.00°. The distinct sites, in fractional coordinates, are Pm at (0.0000, 0.0000, 0.0000), Er at (0.6667, 0.3333, 0.4881) and Ni at (0.3333, 0.6667, 0.6766).

The energy above the most stable polymorph in this dataset comes out at 144 meV/atom.


Record 8
Here is AlTlCu2 after structural relaxation from Alexandria. Energies are from GGA-PBE.

It has space group P4mm (No. 99), with a = 3.147 Å, b = 3.147 Å, c = 7.048 Å, α = 90.00°, β = 90.00° and γ = 90.00°. The distinct sites, in fractional coordinates, are Al at (0.000, 0.000, 0.000), Tl at (0.500, 0.500, 0.650), Cu at (0.000, 0.000, 0.363) and Cu at (0.500, 0.500, 0.187).

The energy above the most stable polymorph in this dataset comes out at 59 meV/atom.


Record 9
Here is YIrSe2 after structural relaxation from Alexandria. Energies are from GGA-PBE.

It has space group Cm (No. 8), with a = 10.970 Å, b = 3.675 Å, c = 4.618 Å, α = 90.00°, β = 90.85° and γ = 90.00°. The distinct sites, in fractional coordinates, are Y at (0.000, 0.000, 0.000), Ir at (0.300, 0.000, 0.202), Se at (0.229, 0.500, 0.907) and Se at (0.489, 0.000, 0.491).

The calculation puts the formation energy from raw total energies at -0.770 eV/atom. The energy above the most stable polymorph in this dataset comes out at 155 meV/atom.


Record 10
Here is Li2MgZrSe after structural relaxation from Alexandria. Energies are from GGA-PBE.

It has space group P4/mmm (No. 123), with a = 4.535 Å, b = 4.535 Å, c = 5.507 Å, α = 90.00°, β = 90.00° and γ = 90.00°. The distinct sites, in fractional coordinates, are Li at (0.000, 0.500, 0.000), Mg at (0.000, 0.000, 0.000), Zr at (0.000, 0.000, 0.500) and Se at (0.500, 0.500, 0.500).

The calculation puts the formation energy from raw total energies at 0.507 eV/atom.


Record 11
Here is Ce2Si2Au after structural relaxation from Alexandria. Energies are from GGA-PBE.

It has space group P4/mbm (No. 127), with a = 6.873 Å, b = 6.873 Å, c = 4.536 Å, α = 90.00°, β = 90.00° and γ = 90.00°. The distinct sites, in fractional coordinates, are Ce at (0.172, 0.328, 0.000), Si at (0.125, 0.625, 0.500) and Au at (0.000, 0.000, 0.500).

The calculation puts the formation energy from raw total energies at -0.656 eV/atom. The energy above the most stable polymorph in this dataset comes out at 32 meV/atom.


Record 12
Here is ZrCdAs2Ir after structural relaxation from Alexandria. Energies are from GGA-PBE.

It has space group P4/mmm (No. 123), with a = 4.793 Å, b = 4.793 Å, c = 5.047 Å, α = 90.00°, β = 90.00° and γ = 90.00°. The distinct sites, in fractional coordinates, are Zr at (0.000, 0.000, 0.000), Cd at (0.500, 0.500, 0.000), As at (0.000, 0.500, 0.500) and Ir at (0.500, 0.500, 0.500).

The calculation puts the raw total energy at -4.9793 eV per atom.


Record 13
Here is PmAl2Au4 after structural relaxation from Alexandria. Energies are from GGA-PBE.

It has space group Pnma (No. 62), with a = 17.759 Å, b = 4.543 Å, c = 6.771 Å, α = 90.00°, β = 90.00° and γ = 90.00°. The distinct sites, in fractional coordinates, are Pm at (0.137, 0.250, 0.012), Al at (0.037, 0.750, 0.243), Al at (0.218, 0.250, 0.532), Au at (0.036, 0.750, 0.822), Au at (0.074, 0.250, 0.501), Au at (0.180, 0.750, 0.314) and Au at (0.197, 0.750, 0.734).

The energy above the most stable polymorph in this dataset comes out at 0 meV/atom.


Record 14
Here is NdRhO4 after structural relaxation from Alexandria. Energies are from GGA-PBE.

It has space group C2/c (No. 15), with a = 7.217 Å, b = 8.907 Å, c = 6.114 Å, α = 90.00°, β = 115.01° and γ = 90.00°. The distinct sites, in fractional coordinates, are Nd at (0.000, 0.132, 0.250), Rh at (0.000, 0.494, 0.750), O at (0.020, 0.351, 0.499) and O at (0.206, 0.005, 0.101).

The calculation puts the formation energy from raw total energies at -1.704 eV/atom.


Record 15
Here is RbSc after structural relaxation from Alexandria. Energies are from GGA-PBE.

It has space group P6_3/m (No. 176), with a = 13.2401 Å, b = 13.2401 Å, c = 3.5755 Å, α = 90.00°, β = 90.00° and γ = 120.00°. The distinct sites, in fractional coordinates, are Rb at (0.0766, 0.3184, 0.2500) and Sc at (0.1809, 0.6142, 0.7500).

The calculation puts the raw total energy at -2.8812 eV per atom.


Record 16
Here is RbAsPd2 after structural relaxation from Alexandria. Energies are from GGA-PBE.

It has space group I4_1/amd (No. 141, origin choice 2), with a = 5.515 Å, b = 5.515 Å, c = 15.744 Å, α = 90.00°, β = 90.00° and γ = 90.00°. The distinct sites, in fractional coordinates, are Rb at (0.000, 0.250, 0.375), As at (0.000, 0.250, 0.875) and Pd at (0.000, 0.000, 0.000).

The calculation puts the raw total energy at -4.2478 eV per atom.


Record 17
Here is Tb2ErAlC after structural relaxation from Alexandria. Energies are from GGA-PBE.

It has space group P4/mmm (No. 123), with a = 4.916 Å, b = 4.916 Å, c = 4.828 Å, α = 90.00°, β = 90.00° and γ = 90.00°. The distinct sites, in fractional coordinates, are Tb at (0.000, 0.500, 0.000), Er at (0.000, 0.000, 0.500), Al at (0.500, 0.500, 0.500) and C at (0.000, 0.000, 0.000).

The calculation puts the raw total energy at -5.7421 eV per atom.


Record 18
Here is Tb2AlS after structural relaxation from Alexandria. Energies are from GGA-PBE.

It has space group R-3m (No. 166, hexagonal axes), with a = 3.8260 Å, b = 3.8260 Å, c = 22.8378 Å, α = 90.00°, β = 90.00° and γ = 120.00°. The distinct sites, in fractional coordinates, are Tb at (0.0000, 0.0000, 0.2407), Al at (0.0000, 0.0000, 0.0000) and S at (0.0000, 0.0000, 0.5000).

The calculation puts the formation energy from raw total energies at -1.126 eV/atom. The energy above the most stable polymorph in this dataset comes out at 86 meV/atom.


no.,N(E_F) (states/eV/atom),total magnetization (Bohr magnetons per cell)
1,0.65,0.00
2,2.71,20.52
3,0.72,0.05
4,1.35,0.00
5,0.30,0.00
6,0.40,0.00
7,1.04,0.00
8,0.41,0.00
9,0.72,0.00
10,0.76,0.00
11,1.86,2.65
12,1.28,0.58
13,0.47,0.00
14,0.01,8.13
15,1.53,6.47
16,0.46,0.00
17,0.38,0.00
18,0.52,0.00